1.
## FeBiAs3 (GGA-PBE)

Data for a relaxed FeBiAs3 crystal.

Results
Formation energy, eV/atom: 0.360
Crystal system: cubic
Total DFT energy (no corrections), eV/f.u.: -24.493
D(E_F), states/eV per cell: 4.475

Cell and atoms, written as CIF:
```
data_FeBiAs3
_chemical_formula_sum 'Fe1 Bi1 As3'
_cell_length_a 4.7051
_cell_length_b 4.7051
_cell_length_c 4.7051
_cell_angle_alpha 90.00
_cell_angle_beta 90.00
_cell_angle_gamma 90.00
_symmetry_space_group_name_H-M 'P m -3 m'
_symmetry_Int_Tables_number 221
_symmetry_space_group_name_Hall '-P 4 2 3'
loop_
_atom_site_label
_atom_site_fract_x
_atom_site_fract_y
_atom_site_fract_z
Fe1 0.0000 0.0000 0.0000
Bi1 0.5000 0.5000 0.5000
As1 0.0000 0.0000 0.5000
```

***

2.
## Fe2BiAs2 (GGA-PBE)

Data for a relaxed Fe2BiAs2 crystal.

Results
Formation energy, eV/atom: 0.088
Crystal system: tetragonal
Total DFT energy (no corrections), eV/f.u.: -29.666
D(E_F), states/eV per cell: 8.182

Cell and atoms, written as CIF:
```
data_Fe2BiAs2
_chemical_formula_sum 'Fe4 Bi2 As4'
_cell_length_a 4.2166
_cell_length_b 4.2166
_cell_length_c 9.4751
_cell_angle_alpha 90.00
_cell_angle_beta 90.00
_cell_angle_gamma 90.00
_symmetry_space_group_name_H-M 'I 4/m m m'
_symmetry_Int_Tables_number 139
_symmetry_space_group_name_Hall '-I 4 2'
loop_
_atom_site_label
_atom_site_fract_x
_atom_site_fract_y
_atom_site_fract_z
Fe1 0.0000 0.5000 0.2500
Bi1 0.0000 0.0000 0.0000
As1 0.0000 0.0000 0.3625
```

***

3.
## Fe2BiAs4 (GGA-PBE)

Data for a relaxed Fe2BiAs4 crystal.

Results
Formation energy, eV/atom: 0.873
Crystal system: tetragonal
Total DFT energy (no corrections), eV/f.u.: -33.296
D(E_F), states/eV per cell: 12.160

Cell and atoms, written as CIF:
```
data_Fe2BiAs4
_chemical_formula_sum 'Fe4 Bi2 As8'
_cell_length_a 5.3049
_cell_length_b 5.3049
_cell_length_c 12.7133
_cell_angle_alpha 90.00
_cell_angle_beta 90.00
_cell_angle_gamma 90.00
_symmetry_space_group_name_H-M 'I 4/m m m'
_symmetry_Int_Tables_number 139
_symmetry_space_group_name_Hall '-I 4 2'
loop_
_atom_site_label
_atom_site_fract_x
_atom_site_fract_y
_atom_site_fract_z
Fe1 0.0000 0.0000 0.0901
Bi1 0.0000 0.0000 0.5000
As1 0.0000 0.0000 0.2635
As2 0.0000 0.5000 0.0000
```

***

What is the formation energy in the second record?
0.088 eV/atom